Entry 1:
Below is an optimized crystal structure of BaSn2Sb2, with properties calculated at the PBE-GGA level.

Cell lengths 8.402, 8.402, 8.402 Å; angles 147.55, 147.55, 46.55 degrees
Positions (direct):
Ba  0.000  0.000  0.000
Sn  0.250  0.750  0.500
Sn  0.750  0.250  0.500
Sb  0.403  0.403  0.000
Sb  0.597  0.597  0.000

Its formation energy (no corrections) is -338 meV/atom. The final energy comes out at -0.29199 Ry per atom. As for the space group: I4/mmm. As for the density of states at the Fermi level: 0.714 states/eV/atom.



Entry 2:
Below is an optimized crystal structure of Y5TeSe5, with properties calculated at the PBE-GGA level.

Cell lengths 7.120, 7.120, 8.253 Å; angles 106.41, 106.41, 48.59 degrees
Positions (direct):
Y  0.000  0.000  0.000
Y  0.330  0.330  0.652
Y  0.333  0.333  0.182
Y  0.667  0.667  0.818
Y  0.670  0.670  0.348
Te  0.500  0.500  0.000
Se  0.161  0.161  0.335
Se  0.171  0.171  0.838
Se  0.500  0.500  0.500
Se  0.829  0.829  0.162
Se  0.839  0.839  0.665

Its formation energy (no corrections) is -1750 meV/atom. The final energy comes out at -0.48197 Ry per atom. As for the space group: C2/m. As for the density of states at the Fermi level: 0.296 states/eV/atom.



Entry 3:
Below is an optimized crystal structure of PWAu2, with properties calculated at the PBE-GGA level.

Cell lengths 2.818, 2.818, 8.487 Å; angles 90.00, 90.00, 90.00 degrees
Positions (direct):
P  0.000  0.000  0.000
W  0.000  0.000  0.500
Au  0.500  0.500  0.254
Au  0.500  0.500  0.746

The final energy comes out at -0.42434 Ry per atom. For the energy above the most stable polymorph in this dataset, the calculation gives 348 meV/atom. The formation enthalpy at 0 K comes out at 0.456 eV/atom. As for the space group: P4/mmm. As for the density of states at the Fermi level: 0.306 states/eV/atom.



Entry 4:
Below is an optimized crystal structure of ZrAl2P, with properties calculated at the PBE-GGA level.

Cell lengths 4.627, 4.627, 4.627 Å; angles 60.00, 60.00, 60.00 degrees
Positions (direct):
Zr  0.000  0.000  0.000
Al  0.500  0.500  0.500
Al  0.750  0.750  0.750
P  0.250  0.250  0.250

The final energy comes out at -0.39804 Ry per atom. The formation enthalpy at 0 K comes out at -0.055 eV/atom. As for the space group: F-43m. As for the density of states at the Fermi level: 0.612 states/eV/atom.



Entry 5:
Below is an optimized crystal structure of NdEr8Tm5, with properties calculated at the PBE-GGA level.

Cell lengths 8.347, 8.347, 8.347 Å; angles 111.48, 111.48, 105.53 degrees
Positions (direct):
Nd  0.000  0.000  0.000
Er  0.092  0.332  0.420
Er  0.280  0.174  0.753
Er  0.328  0.908  0.240
Er  0.422  0.527  0.247
Er  0.473  0.720  0.894
Er  0.668  0.088  0.760
Er  0.826  0.578  0.106
Er  0.912  0.672  0.580
Tm  0.033  0.438  0.823
Tm  0.250  0.750  0.500
Tm  0.562  0.386  0.595
Tm  0.614  0.209  0.177
Tm  0.791  0.967  0.405

The final energy comes out at -0.31552 Ry per atom. The formation enthalpy at 0 K comes out at 0.252 eV/atom. As for the space group: I-4. As for the density of states at the Fermi level: 1.543 states/eV/atom.



Entry 6:
Below is an optimized crystal structure of NaAlGa3, with properties calculated at the PBE-GGA level.

Cell lengths 5.128, 5.128, 5.128 Å; angles 90.00, 90.00, 90.00 degrees
Positions (direct):
Na  0.000  0.000  0.000
Al  0.500  0.500  0.500
Ga  0.000  0.000  0.500
Ga  0.000  0.500  0.000
Ga  0.500  0.000  0.000

The final energy comes out at -0.14975 Ry per atom. For the energy above the most stable polymorph in this dataset, the calculation gives 887 meV/atom. The formation enthalpy at 0 K comes out at 0.791 eV/atom. As for the space group: Pm-3m. As for the density of states at the Fermi level: 0.416 states/eV/atom.



Entry 7:
Below is an optimized crystal structure of PmSi2Ru4, with properties calculated at the PBE-GGA level.

Cell lengths 7.568, 7.568, 3.887 Å; angles 90.00, 90.00, 90.00 degrees
Positions (direct):
Pm  0.000  0.000  0.000
Pm  0.500  0.500  0.500
Si  0.219  0.219  0.500
Si  0.281  0.719  0.000
Si  0.719  0.281  0.000
Si  0.781  0.781  0.500
Ru  0.078  0.658  0.500
Ru  0.158  0.422  0.000
Ru  0.342  0.922  0.500
Ru  0.422  0.158  0.000
Ru  0.578  0.842  0.000
Ru  0.658  0.078  0.500
Ru  0.842  0.578  0.000
Ru  0.922  0.342  0.500

Its formation energy (no corrections) is -591 meV/atom. The final energy comes out at -0.59677 Ry per atom. As for the space group: P4_2/mnm. As for the density of states at the Fermi level: 0.804 states/eV/atom.



Entry 8:
Below is an optimized crystal structure of Cu2Pb2F7, with properties calculated at the PBE-GGA level.

Cell lengths 5.656, 5.656, 5.357 Å; angles 91.97, 91.97, 85.77 degrees
Positions (direct):
Cu  0.241  0.241  0.012
Cu  0.759  0.759  0.988
Pb  0.246  0.754  0.500
Pb  0.754  0.246  0.500
F  0.000  0.000  0.000
F  0.067  0.469  0.757
F  0.430  0.430  0.265
F  0.469  0.067  0.757
F  0.531  0.933  0.243
F  0.570  0.570  0.735
F  0.933  0.531  0.243

Its formation energy (no corrections) is -1846 meV/atom. The final energy comes out at -0.32746 Ry per atom. For the energy above the most stable polymorph in this dataset, the calculation gives 9 meV/atom. As for the space group: C2/m. As for the density of states at the Fermi level: 0.522 states/eV/atom.



Entry 9:
Below is an optimized crystal structure of MoIr2Br, with properties calculated at the PBE-GGA level.

Cell lengths 2.865, 2.865, 8.230 Å; angles 90.00, 90.00, 90.00 degrees
Positions (direct):
Mo  0.000  0.000  0.000
Ir  0.500  0.500  0.217
Ir  0.500  0.500  0.783
Br  0.000  0.000  0.500

Its formation energy (no corrections) is 364 meV/atom. The final energy comes out at -0.52861 Ry per atom. For the energy above the most stable polymorph in this dataset, the calculation gives 7 meV/atom. As for the space group: P4/mmm. As for the density of states at the Fermi level: 0.507 states/eV/atom.



Entry 10:
Below is an optimized crystal structure of Mg2MnAs, with properties calculated at the PBE-GGA level.

Cell lengths 8.771, 8.771, 8.771 Å; angles 21.02, 21.02, 21.02 degrees
Positions (direct):
Mg  0.000  0.000  0.000
Mg  0.230  0.230  0.230
Mn  0.479  0.479  0.479
As  0.754  0.754  0.754

The final energy comes out at -0.30953 Ry per atom. The formation enthalpy at 0 K comes out at 0.041 eV/atom. As for the space group: R3m. As for the density of states at the Fermi level: 0.477 states/eV/atom.



Entry 11:
Below is an optimized crystal structure of DyYTlCo, with properties calculated at the PBE-GGA level.

Cell lengths 5.113, 5.113, 5.113 Å; angles 60.00, 60.00, 60.00 degrees
Positions (direct):
Dy  0.000  0.000  0.000
Y  0.500  0.500  0.500
Tl  0.750  0.750  0.750
Co  0.250  0.250  0.250

The final energy comes out at -0.38712 Ry per atom. The formation enthalpy at 0 K comes out at -0.132 eV/atom. As for the space group: F-43m. As for the density of states at the Fermi level: 0.553 states/eV/atom.



Entry 12:
Below is an optimized crystal structure of LaHo2Ag3, with properties calculated at the PBE-GGA level.

Cell lengths 3.653, 3.653, 11.248 Å; angles 90.00, 90.00, 90.00 degrees
Positions (direct):
La  0.000  0.000  0.000
Ho  0.000  0.000  0.340
Ho  0.000  0.000  0.660
Ag  0.500  0.500  0.189
Ag  0.500  0.500  0.500
Ag  0.500  0.500  0.811

The final energy comes out at -0.29985 Ry per atom. The formation enthalpy at 0 K comes out at -0.307 eV/atom. As for the space group: P4/mmm. As for the density of states at the Fermi level: 0.514 states/eV/atom.



Copy entry 5 word for word.
Below is an optimized crystal structure of NdEr8Tm5, with properties calculated at the PBE-GGA level.

Cell lengths 8.347, 8.347, 8.347 Å; angles 111.48, 111.48, 105.53 degrees
Positions (direct):
Nd  0.000  0.000  0.000
Er  0.092  0.332  0.420
Er  0.280  0.174  0.753
Er  0.328  0.908  0.240
Er  0.422  0.527  0.247
Er  0.473  0.720  0.894
Er  0.668  0.088  0.760
Er  0.826  0.578  0.106
Er  0.912  0.672  0.580
Tm  0.033  0.438  0.823
Tm  0.250  0.750  0.500
Tm  0.562  0.386  0.595
Tm  0.614  0.209  0.177
Tm  0.791  0.967  0.405

The final energy comes out at -0.31552 Ry per atom. The formation enthalpy at 0 K comes out at 0.252 eV/atom. As for the space group: I-4. As for the density of states at the Fermi level: 1.543 states/eV/atom.